1.
Compound: K2NaCrF6
Source: the Alexandria database
Functional: SCAN
Structure: PBEsol geometry

Results
- V (Å³/cell) = 139.9
- M_tot (μB/atom) = 0.300
- density (g cm⁻³) = 3.2
- total energy (eV for the cell shown) = -92.15
- uncorrected formation energy (eV/f.u.) = -31.7

a = 5.8268 Å, b = 5.8268 Å, c = 5.8268 Å
α = 60.00°, β = 60.00°, γ = 60.00°
Last column: nearest neighbours and their distance in Å.
Positions (direct):
F (0.2312, 0.2312, 0.7688)  1 Cr 1.91
F (0.2312, 0.7688, 0.2312)  1 Cr 1.91
F (0.7688, 0.2312, 0.7688)  1 Cr 1.91
F (0.7688, 0.7688, 0.2312)  1 Cr 1.91
F (0.2312, 0.7688, 0.7688)  1 Cr 1.91
F (0.7688, 0.2312, 0.2312)  1 Cr 1.91
K (0.2500, 0.2500, 0.2500)  12 F 2.92
K (0.7500, 0.7500, 0.7500)  12 F 2.92
Cr (0.0000, 0.0000, 0.0000)  6 F 1.91
Na (0.5000, 0.5000, 0.5000)  6 F 2.21

***

2.
Compound: LaZnCl
Source: the Alexandria database
Functional: SCAN
Structure: PBEsol geometry

Results
- V (Å³/cell) = 79.9
- M_tot (μB/atom) = 0.000
- density (g cm⁻³) = 5.0
- total energy (eV for the cell shown) = -67.30
- uncorrected formation energy (eV/f.u.) = -2.7

a = 3.6711 Å, b = 3.6711 Å, c = 6.8458 Å
α = 90.00°, β = 90.00°, γ = 120.00°
Last column: nearest neighbours and their distance in Å.
Positions (direct):
Cl (0.0000, 0.0000, 0.9729)  3 La 2.92
La (0.3333, 0.6667, 0.6799)  3 Cl 2.92, 3 Zn 3.11
Zn (0.6667, 0.3333, 0.3472)  3 La 3.11, 3 Cl 3.33

***

3.
Compound: HfSc2P2
Source: the Alexandria database
Functional: SCAN
Structure: PBEsol geometry

Results
- V (Å³/cell) = 171.6
- M_tot (μB/atom) = 0.000
- ΔE_f (eV/f.u.) = -6.415
- density (g cm⁻³) = 6.4
- total energy (eV for the cell shown) = -236.72

a = 3.5925 Å, b = 6.9122 Å, c = 6.9122 Å
α = 90.00°, β = 90.00°, γ = 90.00°
Last column: nearest neighbours and their distance in Å.
Positions (direct):
Sc (0.5000, 0.8409, 0.3409)  6 P 2.63-2.76
Sc (0.5000, 0.3409, 0.1591)  6 P 2.63-2.76
Sc (0.5000, 0.6591, 0.8409)  6 P 2.63-2.76
Sc (0.5000, 0.1591, 0.6591)  6 P 2.63-2.76
P (0.0000, 0.6442, 0.1442)  6 Sc 2.63-2.76, 2 Hf 2.65, 1 P 2.82
P (0.0000, 0.8558, 0.6442)  6 Sc 2.63-2.76, 2 Hf 2.65, 1 P 2.82
P (0.0000, 0.1442, 0.3558)  6 Sc 2.63-2.76, 2 Hf 2.65, 1 P 2.82
P (0.0000, 0.3558, 0.8558)  6 Sc 2.63-2.76, 2 Hf 2.65, 1 P 2.82
Hf (0.0000, 0.0000, 0.0000)  4 P 2.65
Hf (0.0000, 0.5000, 0.5000)  4 P 2.65